{
  "formula": "Co15Sb",
  "functional": "PBE",
  "state": "optimized geometry",
  "cell": [[-2.7663, -1.6690, 2.8178], [-6.9830, -24.7359, -21.5066], [3.8816, -1.6883, 0.6815]],
  "species": ["Co", "Co", "Co", "Co", "Co", "Co", "Co", "Co", "Co", "Co", "Co", "Co", "Co", "Co", "Co", "Co", "Co", "Co", "Co", "Co", "Co", "Co", "Co", "Co", "Co", "Co", "Co", "Co", "Co", "Co", "Sb", "Sb"],
  "frac_coords": [[0.0000, 0.4816, 0.7500], [0.5000, 0.2983, 0.7500], [0.5000, 0.2605, 0.2500], [0.5000, 0.3342, 0.2500], [0.5000, 0.4816, 0.2500], [0.0000, 0.6658, 0.2500], [0.5000, 0.5920, 0.7500], [0.5000, 0.7395, 0.7500], [0.5000, 0.4080, 0.2500], [0.5000, 0.5184, 0.7500], [0.0000, 0.2604, 0.7500], [0.0000, 0.4449, 0.2500], [0.5000, 0.2266, 0.7500], [0.0000, 0.5184, 0.2500], [0.5000, 0.6289, 0.2500], [0.5000, 0.5553, 0.2500], [0.0000, 0.3708, 0.2500], [0.0000, 0.3342, 0.7500], [0.5000, 0.4447, 0.7500], [0.0000, 0.5551, 0.7500], [0.5000, 0.6658, 0.7500], [0.5000, 0.7734, 0.2500], [0.0000, 0.7027, 0.7500], [0.5000, 0.7017, 0.2500], [0.0000, 0.5920, 0.2500], [0.0000, 0.4080, 0.7500], [0.0000, 0.6292, 0.7500], [0.5000, 0.3711, 0.7500], [0.0000, 0.7396, 0.2500], [0.0000, 0.2973, 0.2500], [0.0000, 0.7886, 0.7500], [0.0000, 0.2114, 0.2500]],
  "sg": "P2/c (13)",
  "polymorph_energy_mev_per_atom": 0.0
}

{
  "formula": "GdU",
  "functional": "PBE",
  "state": "optimized geometry",
  "cell": [[-2.5552, 1.2764, -1.4725], [2.2853, -1.4596, -1.7245], [-2.8127, -5.0245, 0.5255]],
  "species": ["Gd", "U"],
  "frac_coords": [[0.6667, 0.3333, 0.7500], [0.3333, 0.6667, 0.2500]],
  "formation_enthalpy_0k_ev_per_atom": 0.506,
  "sg": "P-6m2 (187)",
  "polymorph_energy_mev_per_atom": 0.0
}

{
  "formula": "Gd2YNi2B2As3",
  "functional": "PBE",
  "state": "optimized geometry",
  "cell": [[-2.0168, 2.0168, 10.9482], [2.0168, -2.0168, 10.9482], [2.0168, 2.0168, -10.9482]],
  "species": ["As", "As", "As", "B", "B", "Ni", "Ni", "Gd", "Gd", "Y"],
  "frac_coords": [[0.8714, 0.8714, 0.0000], [0.1286, 0.1286, 0.0000], [0.5000, 0.5000, 0.0000], [0.2238, 0.2238, 0.0000], [0.7762, 0.7762, 0.0000], [0.7500, 0.2500, 0.5000], [0.2500, 0.7500, 0.5000], [0.3585, 0.3585, 0.0000], [0.6415, 0.6415, 0.0000], [0.0000, 0.0000, 0.0000]],
  "sg": "I4/mmm (139)"
}

{
  "formula": "Li2La2In2AgAu",
  "functional": "PBE",
  "state": "optimized geometry",
  "cell": [[-1.0936, 3.7532, 3.1830], [-1.2661, -3.3655, 3.5334], [6.7266, -0.0465, 2.3659]],
  "species": ["La", "La", "Li", "Li", "Au", "Ag", "In", "In"],
  "frac_coords": [[0.0000, 0.5000, 0.2543], [0.5000, 0.0000, 0.7457], [0.5000, 0.5000, 0.0000], [0.0000, 0.0000, 0.5000], [0.5000, 0.5000, 0.5000], [0.0000, 0.0000, 0.0000], [0.5000, 0.0000, 0.2480], [0.0000, 0.5000, 0.7520]],
  "sg": "P-4m2 (115)"
}

{
  "formula": "NdNiGe2",
  "functional": "PBE",
  "state": "optimized geometry",
  "cell": [[3.7387, 1.8322, 0.6998], [-0.6730, -0.2197, 4.1707], [3.3348, -7.6757, 2.2793]],
  "species": ["Ni", "Ni", "Nd", "Nd", "Ge", "Ge", "Ge", "Ge"],
  "frac_coords": [[0.2500, 0.6814, 0.6371], [0.7500, 0.3186, 0.3629], [0.2500, 0.8919, 0.2161], [0.7500, 0.1081, 0.7839], [0.2500, 0.5424, 0.9152], [0.7500, 0.4576, 0.0848], [0.2500, 0.2509, 0.4983], [0.7500, 0.7491, 0.5017]],
  "sg": "Cmcm (63)"
}

{
  "formula": "SiW2N",
  "functional": "PBE",
  "state": "optimized geometry",
  "cell": [[4.2687, -2.4704, 0.0000], [4.2687, 2.4704, 0.0000], [-3.1533, 0.0000, 14.1892]],
  "species": ["W", "W", "W", "W", "W", "W", "W", "W", "W", "W", "W", "W", "Si", "Si", "Si", "Si", "Si", "Si", "N", "N", "N", "N", "N", "N"],
  "frac_coords": [[0.3086, 0.1421, 0.9053], [0.6914, 0.8579, 0.0947], [0.9824, 0.7947, 0.9056], [0.6241, 0.4433, 0.8373], [0.3759, 0.5567, 0.1627], [0.1421, 0.3086, 0.4053], [0.4433, 0.6241, 0.3373], [0.0176, 0.2053, 0.0944], [0.2053, 0.0176, 0.5944], [0.8579, 0.6914, 0.5947], [0.5567, 0.3759, 0.6627], [0.7947, 0.9824, 0.4056], [0.9052, 0.5891, 0.2507], [0.0833, 0.9167, 0.7500], [0.4109, 0.0948, 0.2493], [0.5891, 0.9052, 0.7507], [0.9167, 0.0833, 0.2500], [0.0948, 0.4109, 0.7493], [0.8516, 0.3259, 0.4991], [0.5000, 0.0000, 0.5000], [0.0000, 0.5000, 0.0000], [0.6741, 0.1484, 0.0009], [0.1484, 0.6741, 0.5009], [0.3259, 0.8516, 0.9991]],
  "sg": "C2/c (15)",
  "polymorph_energy_mev_per_atom": 0.0
}

{
  "formula": "NdZrMo",
  "functional": "PBE",
  "state": "optimized geometry",
  "cell": [[0.0000, 3.3600, 3.3600], [3.3600, 0.0000, 3.3600], [3.3600, 3.3600, 0.0000]],
  "species": ["Zr", "Nd", "Mo"],
  "frac_coords": [[0.0000, 0.0000, 0.0000], [0.7500, 0.7500, 0.7500], [0.2500, 0.2500, 0.2500]],
  "formation_enthalpy_0k_ev_per_atom": 0.992,
  "sg": "F-43m (216)",
  "polymorph_energy_mev_per_atom": 0.0
}

{
  "formula": "PmUGa",
  "functional": "PBE",
  "state": "optimized geometry",
  "cell": [[0.0000, 3.5067, 3.5067], [3.5067, 0.0000, 3.5067], [3.5067, 3.5067, 0.0000]],
  "species": ["Pm", "U", "Ga"],
  "frac_coords": [[0.2500, 0.2500, 0.2500], [0.7500, 0.7500, 0.7500], [0.0000, 0.0000, 0.0000]],
  "sg": "F-43m (216)",
  "polymorph_energy_mev_per_atom": 0.0
}

{
  "formula": "YLuGe2Au2",
  "functional": "PBE",
  "state": "optimized geometry",
  "cell": [[4.4600, 0.0000, 0.0000], [-2.2300, 3.8625, 0.0000], [0.0000, 0.0000, 7.2385]],
  "species": ["Au", "Au", "Ge", "Ge", "Y", "Lu"],
  "frac_coords": [[0.6667, 0.3333, 0.2842], [0.3333, 0.6667, 0.8029], [0.6667, 0.3333, 0.7095], [0.3333, 0.6667, 0.2041], [0.0000, 0.0000, 0.5008], [0.0000, 0.0000, 0.0000]],
  "sg": "P3m1 (156)"
}

{
  "formula": "Pm2NdO4",
  "functional": "PBE",
  "state": "optimized geometry",
  "cell": [[4.9584, -4.9601, 0.0000], [-4.9584, 0.0000, -4.9601], [4.9584, 4.9601, 0.0000]],
  "species": ["Pm", "Pm", "Pm", "Pm", "O", "O", "O", "O", "O", "O", "O", "O", "Nd", "Nd"],
  "frac_coords": [[0.3750, 0.2500, 0.6250], [0.3750, 0.7500, 0.1250], [0.8750, 0.2500, 0.6250], [0.3750, 0.7500, 0.6250], [0.6167, 0.2336, 0.3832], [0.6004, 0.7336, 0.8668], [0.6168, 0.2336, 0.8504], [0.1333, 0.2664, 0.8668], [0.1496, 0.7664, 0.3831], [0.1332, 0.7336, 0.8667], [0.1332, 0.2664, 0.3996], [0.6168, 0.7664, 0.3833], [0.7500, 0.5000, 0.2500], [0.0000, 0.0000, 0.0000]],
  "sg": "Fd-3m (227)"
}

{
  "formula": "Tl2Hg2S3",
  "functional": "PBE",
  "state": "optimized geometry",
  "cell": [[-4.3919, 4.3919, 4.3919], [4.3919, -4.3919, 4.3919], [4.3919, 4.3919, -4.3919]],
  "species": ["Tl", "Tl", "Tl", "Tl", "S", "S", "S", "S", "S", "S", "Hg", "Hg", "Hg", "Hg"],
  "frac_coords": [[0.5000, 0.0000, 0.3657], [0.1343, 0.1343, 0.1343], [0.3657, 0.5000, 0.0000], [0.0000, 0.3657, 0.5000], [0.1080, 0.7500, 0.8580], [0.8580, 0.1080, 0.7500], [0.6420, 0.3920, 0.2500], [0.3920, 0.2500, 0.6420], [0.7500, 0.8580, 0.1080], [0.2500, 0.6420, 0.3920], [0.5000, 0.0000, 0.8831], [0.6169, 0.6169, 0.6169], [0.8831, 0.5000, 0.0000], [0.0000, 0.8831, 0.5000]],
  "sg": "I2_13 (199)",
  "polymorph_energy_mev_per_atom": 0.0
}

{
  "formula": "AlGaAu",
  "functional": "PBE",
  "state": "optimized geometry",
  "cell": [[-3.0167, 3.0643, 0.6179], [-2.1495, -1.4100, -3.5019], [-3.1737, -3.8280, 3.4894]],
  "species": ["Au", "Au", "Al", "Al", "Ga", "Ga"],
  "frac_coords": [[0.5000, 0.0000, 0.7357], [0.0000, 0.5000, 0.2643], [0.5000, 0.5000, 0.5000], [0.0000, 0.0000, 0.5000], [0.0000, 0.0000, 0.0000], [0.5000, 0.5000, 0.0000]],
  "sg": "P4/nmm (129)"
}

Across the entries above, E takes the values -109.530; -14.938; -62.282; -29.236; -22.562; -39.682; -21.183; -17.923; -31.636; -55.649; -17.634; -11.023 eV per formula unit, respectively.